P.
A plane-wave DFT calculation with PBE was carried out for an optimized crystal structure of Zn5CdAg6.

The value obtained for the density of states at the Fermi level is 1.8 states/eV/f.u. As for the space group: No. 71. As for the magnetic moment: 0.0 μB per cell.

a = 7.6738 Å, b = 7.6738 Å, c = 7.6738 Å
α = 146.87°, β = 124.67°, γ = 66.02°
Element x y z (fractional)
Zn: 0.0000 0.0000 0.0000
Zn: 0.1736 0.6736 0.5000
Zn: 0.3389 0.3389 0.0000
Zn: 0.6611 0.6611 0.0000
Zn: 0.8264 0.3264 0.5000
Cd: 0.5000 0.0000 0.5000
Ag: 0.0662 0.8296 0.2367
Ag: 0.2288 0.5000 0.7288
Ag: 0.4071 0.1704 0.2367
Ag: 0.5929 0.8296 0.7633
Ag: 0.7712 0.5000 0.2712
Ag: 0.9338 0.1704 0.7633

Q.
A plane-wave DFT calculation with PBE was carried out for an optimized crystal structure of Zn5CdAg6.

The value obtained for the density of states at the Fermi level is 3.1 states/eV/f.u. As for the space group: No. 12. As for the magnetic moment: 0.0 μB per cell.

a = 6.8641 Å, b = 6.8641 Å, c = 7.1048 Å
α = 90.40°, β = 90.40°, γ = 143.09°
Element x y z (fractional)
Zn: 0.0000 0.0000 0.0000
Zn: 0.3329 0.6671 0.0000
Zn: 0.3326 0.6674 0.5000
Zn: 0.6671 0.3329 0.0000
Zn: 0.6674 0.3326 0.5000
Cd: 0.0000 0.0000 0.5000
Ag: 0.1679 0.8274 0.7569
Ag: 0.1726 0.8321 0.2431
Ag: 0.4998 0.4998 0.2338
Ag: 0.5002 0.5002 0.7662
Ag: 0.8274 0.1679 0.7569
Ag: 0.8321 0.1726 0.2431

P is the most stable structure; the next one sits 9 meV/atom above it.

P.
A plane-wave DFT calculation with PBE was carried out for an optimized crystal structure of ZnCd2Ag3.

The value obtained for the density of states at the Fermi level is 1.1 states/eV/f.u. As for the space group: No. 65. As for the magnetic moment: 0.0 μB per cell.

a = 7.0545 Å, b = 7.0545 Å, c = 7.3620 Å
α = 90.00°, β = 90.00°, γ = 143.02°
Element x y z (fractional)
Zn: 0.1616 0.8384 0.0000
Zn: 0.8384 0.1616 0.0000
Cd: 0.1672 0.8328 0.5000
Cd: 0.5000 0.5000 0.0000
Cd: 0.5000 0.5000 0.5000
Cd: 0.8328 0.1672 0.5000
Ag: 0.0000 0.0000 0.2432
Ag: 0.0000 0.0000 0.7568
Ag: 0.3265 0.6735 0.2268
Ag: 0.3265 0.6735 0.7732
Ag: 0.6735 0.3265 0.2268
Ag: 0.6735 0.3265 0.7732

Q.
A plane-wave DFT calculation with PBE was carried out for an optimized crystal structure of ZnCd2Ag3.

The value obtained for the density of states at the Fermi level is 2.3 states/eV/f.u. As for the space group: No. 63. As for the magnetic moment: 0.0 μB per cell.

a = 6.4469 Å, b = 6.4469 Å, c = 5.5831 Å
α = 90.00°, β = 90.00°, γ = 93.02°
Element x y z (fractional)
Zn: 0.2271 0.7729 0.7500
Zn: 0.7729 0.2271 0.2500
Cd: 0.1023 0.5568 0.2500
Cd: 0.4432 0.8977 0.2500
Cd: 0.5568 0.1023 0.7500
Cd: 0.8977 0.4432 0.7500
Ag: 0.1604 0.1604 0.0000
Ag: 0.1604 0.1604 0.5000
Ag: 0.5000 0.5000 0.0000
Ag: 0.5000 0.5000 0.5000
Ag: 0.8396 0.8396 0.0000
Ag: 0.8396 0.8396 0.5000

P is the most stable structure; the next one sits 88 meV/atom above it.

P.
A plane-wave DFT calculation with PBE was carried out for an optimized crystal structure of ZnCd6Ag2.

The value obtained for the density of states at the Fermi level is 2.7 states/eV/f.u. As for the space group: No. 189. As for the magnetic moment: 0.0 μB per cell.

a = 8.2760 Å, b = 8.2760 Å, c = 3.0541 Å
α = 90.00°, β = 90.00°, γ = 120.00°
Element x y z (fractional)
Zn: 0.0000 0.0000 0.0000
Cd: 0.0000 0.2887 0.5000
Cd: 0.0000 0.6244 0.0000
Cd: 0.2887 0.0000 0.5000
Cd: 0.3756 0.3756 0.0000
Cd: 0.6244 0.0000 0.0000
Cd: 0.7113 0.7113 0.5000
Ag: 0.3333 0.6667 0.5000
Ag: 0.6667 0.3333 0.5000

Q.
A plane-wave DFT calculation with PBE was carried out for an optimized crystal structure of ZnCd6Ag2.

The value obtained for the density of states at the Fermi level is 3.8 states/eV/f.u. As for the space group: No. 12. As for the magnetic moment: 0.0 μB per cell.

a = 8.0433 Å, b = 8.0433 Å, c = 4.4241 Å
α = 104.73°, β = 104.73°, γ = 50.06°
Element x y z (fractional)
Zn: 0.0000 0.0000 0.0000
Cd: 0.0687 0.5999 0.8355
Cd: 0.2485 0.7515 0.5000
Cd: 0.4001 0.9313 0.1645
Cd: 0.5999 0.0687 0.8355
Cd: 0.7515 0.2485 0.5000
Cd: 0.9313 0.4001 0.1645
Ag: 0.3360 0.3360 0.3378
Ag: 0.6640 0.6640 0.6622

P is the most stable structure; the next one sits 49 meV/atom above it.

P.
A plane-wave DFT calculation with PBE was carried out for an optimized crystal structure of Zn2Cd2Ag7.

The value obtained for the density of states at the Fermi level is 2.0 states/eV/f.u. As for the space group: No. 12. As for the magnetic moment: 0.0 μB per cell.

a = 5.3025 Å, b = 5.3025 Å, c = 8.0715 Å
α = 92.12°, β = 92.12°, γ = 115.81°
Element x y z (fractional)
Zn: 0.2000 0.2000 0.3325
Zn: 0.8000 0.8000 0.6675
Cd: 0.2514 0.7486 0.5000
Cd: 0.7486 0.2514 0.5000
Ag: 0.0000 0.0000 0.0000
Ag: 0.1629 0.5924 0.1512
Ag: 0.2855 0.2855 0.6927
Ag: 0.4076 0.8371 0.8488
Ag: 0.5924 0.1629 0.1512
Ag: 0.7145 0.7145 0.3073
Ag: 0.8371 0.4076 0.8488

Q.
A plane-wave DFT calculation with PBE was carried out for an optimized crystal structure of Zn2Cd2Ag7.

The value obtained for the density of states at the Fermi level is 3.3 states/eV/f.u. As for the space group: No. 44. As for the magnetic moment: 0.0 μB per cell.

a = 7.5715 Å, b = 7.5715 Å, c = 7.5715 Å
α = 144.91°, β = 66.94°, γ = 125.00°
Element x y z (fractional)
Zn: 0.0000 0.0000 0.0000
Zn: 0.7079 0.2079 0.5000
Cd: 0.2850 0.9916 0.2934
Cd: 0.6982 0.9916 0.7066
Ag: 0.1423 0.4917 0.6505
Ag: 0.1467 0.2833 0.8635
Ag: 0.3051 0.8051 0.5000
Ag: 0.4198 0.2833 0.1365
Ag: 0.5722 0.6967 0.8755
Ag: 0.8213 0.6967 0.1245
Ag: 0.8412 0.4917 0.3495

Q is the most stable structure; the next one sits 18 meV/atom above it.

P.
A plane-wave DFT calculation with PBE was carried out for an optimized crystal structure of Zn3CdAg3.

The value obtained for the density of states at the Fermi level is 1.5 states/eV/f.u. As for the space group: No. 176. As for the magnetic moment: 0.0 μB per cell.

a = 7.5884 Å, b = 7.5884 Å, c = 4.7860 Å
α = 90.00°, β = 90.00°, γ = 120.00°
Element x y z (fractional)
Zn: 0.0401 0.8161 0.2500
Zn: 0.1839 0.2239 0.2500
Zn: 0.2239 0.0401 0.7500
Zn: 0.7761 0.9599 0.2500
Zn: 0.8161 0.7761 0.7500
Zn: 0.9599 0.1839 0.7500
Cd: 0.3333 0.6667 0.2500
Cd: 0.6667 0.3333 0.7500
Ag: 0.0921 0.6362 0.7500
Ag: 0.3638 0.4559 0.7500
Ag: 0.4559 0.0921 0.2500
Ag: 0.5441 0.9079 0.7500
Ag: 0.6362 0.5441 0.2500
Ag: 0.9079 0.3638 0.2500

Q.
A plane-wave DFT calculation with PBE was carried out for an optimized crystal structure of Zn3CdAg3.

The value obtained for the density of states at the Fermi level is 3.2 states/eV/f.u. As for the space group: No. 223. As for the magnetic moment: 0.0 μB per cell.

a = 7.2233 Å, b = 7.2233 Å, c = 7.2233 Å
α = 90.00°, β = 90.00°, γ = 90.00°
Element x y z (fractional)
Zn: 0.0000 0.2500 0.5000
Zn: 0.0000 0.7500 0.5000
Zn: 0.2500 0.5000 0.0000
Zn: 0.5000 0.0000 0.2500
Zn: 0.5000 0.0000 0.7500
Zn: 0.7500 0.5000 0.0000
Cd: 0.0000 0.0000 0.0000
Cd: 0.5000 0.5000 0.5000
Ag: 0.0000 0.5000 0.2500
Ag: 0.0000 0.5000 0.7500
Ag: 0.2500 0.0000 0.5000
Ag: 0.5000 0.2500 0.0000
Ag: 0.5000 0.7500 0.0000
Ag: 0.7500 0.0000 0.5000

P is the most stable structure; the next one sits 520 meV/atom above it.

P.
A plane-wave DFT calculation with PBE was carried out for an optimized crystal structure of Zn2Cd5Ag12.

The value obtained for the density of states at the Fermi level is 5.0 states/eV/f.u. As for the space group: No. 12. As for the magnetic moment: 0.0 μB per cell.

a = 7.7076 Å, b = 7.7076 Å, c = 6.8397 Å
α = 92.01°, β = 92.01°, γ = 61.68°
Element x y z (fractional)
Zn: 0.2011 0.7989 0.0000
Zn: 0.7989 0.2011 0.0000
Cd: 0.1957 0.1957 0.9898
Cd: 0.2622 0.2622 0.4189
Cd: 0.5000 0.5000 0.5000
Cd: 0.7378 0.7378 0.5811
Cd: 0.8043 0.8043 0.0102
Ag: 0.0518 0.0518 0.3114
Ag: 0.0774 0.6785 0.3458
Ag: 0.1594 0.5300 0.7595
Ag: 0.3215 0.9226 0.6542
Ag: 0.4109 0.4109 0.1098
Ag: 0.4700 0.8406 0.2405
Ag: 0.5300 0.1594 0.7595
Ag: 0.5891 0.5891 0.8902
Ag: 0.6785 0.0774 0.3458
Ag: 0.8406 0.4700 0.2405
Ag: 0.9226 0.3215 0.6542
Ag: 0.9482 0.9482 0.6886

Q.
A plane-wave DFT calculation with PBE was carried out for an optimized crystal structure of Zn2Cd5Ag12.

The value obtained for the density of states at the Fermi level is 5.4 states/eV/f.u. As for the space group: No. 12. As for the magnetic moment: 0.0 μB per cell.

a = 9.6526 Å, b = 9.6526 Å, c = 7.2797 Å
α = 109.53°, β = 109.53°, γ = 34.83°
Element x y z (fractional)
Zn: 0.2470 0.7530 0.0000
Zn: 0.7530 0.2470 0.0000
Cd: 0.1535 0.1535 0.0873
Cd: 0.2550 0.2550 0.5184
Cd: 0.5000 0.5000 0.5000
Cd: 0.7450 0.7450 0.4816
Cd: 0.8465 0.8465 0.9127
Ag: 0.0474 0.0474 0.6981
Ag: 0.0533 0.5524 0.2078
Ag: 0.1420 0.6548 0.6229
Ag: 0.3452 0.8580 0.3771
Ag: 0.3663 0.3663 0.9486
Ag: 0.4476 0.9467 0.7922
Ag: 0.5524 0.0533 0.2078
Ag: 0.6337 0.6337 0.0514
Ag: 0.6548 0.1420 0.6229
Ag: 0.8580 0.3452 0.3771
Ag: 0.9467 0.4476 0.7922
Ag: 0.9526 0.9526 0.3019

P is the most stable structure; the next one sits 23 meV/atom above it.

P.
A plane-wave DFT calculation with PBE was carried out for an optimized crystal structure of Zn2CdAg2.

The value obtained for the density of states at the Fermi level is 1.6 states/eV/f.u. As for the space group: No. 139. As for the magnetic moment: 0.0 μB per cell.

a = 7.4388 Å, b = 7.4388 Å, c = 7.4388 Å
α = 151.65°, β = 151.65°, γ = 40.52°
Element x y z (fractional)
Zn: 0.2500 0.7500 0.5000
Zn: 0.7500 0.2500 0.5000
Cd: 0.0000 0.0000 0.0000
Ag: 0.3970 0.3970 0.0000
Ag: 0.6030 0.6030 0.0000

Q.
A plane-wave DFT calculation with PBE was carried out for an optimized crystal structure of Zn2CdAg2.

The value obtained for the density of states at the Fermi level is 0.9 states/eV/f.u. As for the space group: No. 127. As for the magnetic moment: 0.0 μB per cell.

a = 7.4166 Å, b = 7.4166 Å, c = 3.1762 Å
α = 90.00°, β = 90.00°, γ = 90.00°
Element x y z (fractional)
Zn: 0.1269 0.3731 0.0000
Zn: 0.3731 0.8731 0.0000
Zn: 0.6269 0.1269 0.0000
Zn: 0.8731 0.6269 0.0000
Cd: 0.0000 0.0000 0.0000
Cd: 0.5000 0.5000 0.0000
Ag: 0.1693 0.6693 0.5000
Ag: 0.3307 0.1693 0.5000
Ag: 0.6693 0.8307 0.5000
Ag: 0.8307 0.3307 0.5000

Q is the most stable structure; the next one sits 36 meV/atom above it.

P.
A plane-wave DFT calculation with PBE was carried out for an optimized crystal structure of Zn2CdAg2.

The value obtained for the density of states at the Fermi level is 0.7 states/eV/f.u. As for the space group: No. 12. As for the magnetic moment: 0.0 μB per cell.

a = 4.5971 Å, b = 4.5971 Å, c = 5.1537 Å
α = 110.41°, β = 110.41°, γ = 61.31°
Element x y z (fractional)
Zn: 0.2157 0.2157 0.1105
Zn: 0.7843 0.7843 0.8895
Cd: 0.0000 0.0000 0.5000
Ag: 0.3910 0.3910 0.7070
Ag: 0.6090 0.6090 0.2930

Q.
A plane-wave DFT calculation with PBE was carried out for an optimized crystal structure of Zn2CdAg2.

The value obtained for the density of states at the Fermi level is 2.2 states/eV/f.u. As for the space group: No. 139. As for the magnetic moment: 0.0 μB per cell.

a = 6.8104 Å, b = 6.8104 Å, c = 6.8104 Å
α = 146.31°, β = 146.31°, γ = 48.39°
Element x y z (fractional)
Zn: 0.0992 0.0992 0.0000
Zn: 0.9008 0.9008 0.0000
Cd: 0.5000 0.5000 0.0000
Ag: 0.2500 0.7500 0.5000
Ag: 0.7500 0.2500 0.5000

P is the most stable structure; the next one sits 110 meV/atom above it.

P.
A plane-wave DFT calculation with PBE was carried out for an optimized crystal structure of Zn2CdAg2.

The value obtained for the density of states at the Fermi level is 1.0 states/eV/f.u. As for the space group: No. 2. As for the magnetic moment: 0.0 μB per cell.

a = 5.1454 Å, b = 5.5079 Å, c = 7.4188 Å
α = 69.65°, β = 88.01°, γ = 62.95°
Element x y z (fractional)
Zn: 0.0541 0.2100 0.0475
Zn: 0.2632 0.7825 0.4532
Zn: 0.7368 0.2175 0.5468
Zn: 0.9459 0.7900 0.9525
Cd: 0.3317 0.0021 0.7434
Cd: 0.6683 0.9979 0.2566
Ag: 0.1240 0.3940 0.3423
Ag: 0.4786 0.3862 0.8515
Ag: 0.5214 0.6138 0.1485
Ag: 0.8760 0.6060 0.6577

Q.
A plane-wave DFT calculation with PBE was carried out for an optimized crystal structure of Zn2CdAg2.

The value obtained for the density of states at the Fermi level is 0.7 states/eV/f.u. As for the space group: No. 127. As for the magnetic moment: 0.0 μB per cell.

a = 7.5672 Å, b = 7.5672 Å, c = 3.1173 Å
α = 90.00°, β = 90.00°, γ = 90.00°
Element x y z (fractional)
Zn: 0.1600 0.3400 0.0000
Zn: 0.3400 0.8400 0.0000
Zn: 0.6600 0.1600 0.0000
Zn: 0.8400 0.6600 0.0000
Cd: 0.0000 0.0000 0.5000
Cd: 0.5000 0.5000 0.5000
Ag: 0.1377 0.6377 0.5000
Ag: 0.3623 0.1377 0.5000
Ag: 0.6377 0.8623 0.5000
Ag: 0.8623 0.3623 0.5000

P is the most stable structure; the next one sits 36 meV/atom above it.

P.
A plane-wave DFT calculation with PBE was carried out for an optimized crystal structure of Zn6CdAg12.

The value obtained for the density of states at the Fermi level is 7.0 states/eV/f.u. As for the space group: No. 204. As for the magnetic moment: 0.0 μB per cell.

a = 7.6047 Å, b = 7.6047 Å, c = 7.6047 Å
α = 109.47°, β = 109.47°, γ = 109.47°
Element x y z (fractional)
Zn: 0.1397 0.5000 0.6397
Zn: 0.3603 0.8603 0.5000
Zn: 0.5000 0.3603 0.8603
Zn: 0.5000 0.6397 0.1397
Zn: 0.6397 0.1397 0.5000
Zn: 0.8603 0.5000 0.3603
Cd: 0.0000 0.0000 0.0000
Ag: 0.0904 0.2718 0.8186
Ag: 0.1814 0.4532 0.2718
Ag: 0.1814 0.9096 0.7282
Ag: 0.2718 0.1814 0.4532
Ag: 0.2718 0.8186 0.0904
Ag: 0.4532 0.2718 0.1814
Ag: 0.5468 0.7282 0.8186
Ag: 0.7282 0.1814 0.9096
Ag: 0.7282 0.8186 0.5468
Ag: 0.8186 0.0904 0.2718
Ag: 0.8186 0.5468 0.7282
Ag: 0.9096 0.7282 0.1814

Q.
A plane-wave DFT calculation with PBE was carried out for an optimized crystal structure of Zn6CdAg12.

The value obtained for the density of states at the Fermi level is 3.8 states/eV/f.u. As for the space group: No. 166. As for the magnetic moment: 0.0 μB per cell.

a = 7.2065 Å, b = 7.2065 Å, c = 7.2065 Å
α = 102.89°, β = 102.89°, γ = 102.89°
Element x y z (fractional)
Zn: 0.0765 0.3285 0.3285
Zn: 0.3285 0.0765 0.3285
Zn: 0.3285 0.3285 0.0765
Zn: 0.6715 0.6715 0.9235
Zn: 0.6715 0.9235 0.6715
Zn: 0.9235 0.6715 0.6715
Cd: 0.5000 0.5000 0.5000
Ag: 0.0802 0.0802 0.6933
Ag: 0.0802 0.6933 0.0802
Ag: 0.2366 0.5000 0.7634
Ag: 0.2366 0.7634 0.5000
Ag: 0.3067 0.9198 0.9198
Ag: 0.5000 0.2366 0.7634
Ag: 0.5000 0.7634 0.2366
Ag: 0.6933 0.0802 0.0802
Ag: 0.7634 0.2366 0.5000
Ag: 0.7634 0.5000 0.2366
Ag: 0.9198 0.3067 0.9198
Ag: 0.9198 0.9198 0.3067

Q is the most stable structure; the next one sits 26 meV/atom above it.